Crystalline Co2TcSe at its relaxed geometry. Source: the Alexandria database, functional PBE-GGA.

Values from the calculation:
DOS(E_F) ... 4.6 states/eV/cell
Total energy ... -6.7091 eV/atom
Uncorrected formation energy ... 0.307 eV/atom
Crystal system ... trigonal
Mass density ... 9.3 g cm⁻³
M_tot ... 1.7 μB per formula unit

Cell and atoms, written as POSCAR:
```
Co2TcSe
1.0
-7.934 1.400 -0.789
-7.800 0.951 1.946
-7.253 3.473 0.925
Se Co Tc
1 2 1
Direct
0.250 0.250 0.250
0.502 0.502 0.502
0.998 0.998 0.998
0.750 0.750 0.750
```

=====

Crystalline CdPW at its relaxed geometry. Source: the Alexandria database, functional PBE-GGA.

Values from the calculation:
DOS(E_F) ... 2.4 states/eV/cell
Total energy ... -6.2433 eV/atom
ΔE to the lowest computed polymorph ... 0.13 eV/f.u.
Formation energy ... 0.18 eV per atom
Crystal system ... trigonal
Mass density ... 10.1 g cm⁻³
M_tot ... 0.0 μB per formula unit

Cell and atoms, written as POSCAR:
```
CdPW
1.0
-0.830 -2.042 2.158
2.803 1.285 0.089
-2.351 4.871 3.703
W P Cd
1 1 1
Direct
0.667 0.333 0.625
0.333 0.667 0.380
0.000 0.000 0.995
```

=====

Q: Which value of total energy does entry 1 give?
A: -6.7091 eV/atom

=====

Q: M_tot of number 1 (Co2TcSe)?
A: 1.7 μB per formula unit

=====

Q: Which formula does entry 1 have?
A: Co2TcSe

=====

Q: What is the formula in the first record?
A: Co2TcSe